Entry 1:
Material: RbIn2Pb8
Method: DFT, PBE-GGA
State: optimized geometry

Its total moment is 0.00 μB/f.u. As for the space group: P4/mmm. The calculation puts the energy of formation from the pure elements at 0.133 eV/atom.

a b c (Å): 6.625 6.625 10.527
angles (deg): 90.00 90.00 90.00
Fractional coordinates of all 11 atoms:
Rb 0.500 0.500 0.500
In 0.500 0.000 0.000
In 0.000 0.500 0.000
Pb 0.752 0.752 0.202
Pb 0.752 0.248 0.798
Pb 0.752 0.752 0.798
Pb 0.752 0.248 0.202
Pb 0.248 0.752 0.202
Pb 0.248 0.752 0.798
Pb 0.248 0.248 0.202
Pb 0.248 0.248 0.798


Entry 2:
Material: Rb2In5Pb3
Method: DFT, PBE-GGA
State: optimized geometry

Its total moment is 0.00 μB/f.u. As for the space group: P-4m2. The calculation puts the energy of formation from the pure elements at -0.091 eV/atom.

a b c (Å): 5.309 5.309 12.529
angles (deg): 90.00 90.00 90.00
Fractional coordinates of all 10 atoms:
Rb 0.500 0.000 0.247
Rb 0.000 0.500 0.753
In 0.500 0.500 0.000
In 0.000 0.000 0.000
In 0.500 0.000 0.881
In 0.000 0.500 0.119
In 0.500 0.500 0.500
Pb 0.500 0.000 0.638
Pb 0.000 0.500 0.362
Pb 0.000 0.000 0.500


Entry 3:
Material: RbIn6Pb4
Method: DFT, PBE-GGA
State: optimized geometry

Its total moment is 0.00 μB/f.u. As for the space group: P-6m2. The calculation puts the energy of formation from the pure elements at 0.021 eV/atom.

a b c (Å): 4.616 9.561 9.561
angles (deg): 120.00 90.00 90.00
Fractional coordinates of all 11 atoms:
Rb 0.000 0.000 0.000
In 0.000 0.524 0.048
In 0.500 0.607 0.803
In 0.000 0.524 0.476
In 0.000 0.952 0.476
In 0.500 0.197 0.803
In 0.500 0.197 0.393
Pb 0.500 0.793 0.585
Pb 0.500 0.415 0.207
Pb 0.500 0.793 0.207
Pb 0.000 0.333 0.667


Entry 4:
Material: Rb2In3Pb5
Method: DFT, PBE-GGA
State: optimized geometry

Its total moment is 0.00 μB/f.u. As for the space group: Ibam. The calculation puts the energy of formation from the pure elements at -0.091 eV/atom. The distance to the lowest polymorph of the same formula is 0 kJ/mol of formula units.

a b c (Å): 7.513 10.603 10.603
angles (deg): 76.01 69.25 69.25
Fractional coordinates of all 20 atoms:
Rb 0.129 0.622 0.120
Rb 0.629 0.120 0.622
Rb 0.871 0.378 0.880
Rb 0.371 0.880 0.378
In 0.378 0.490 0.754
In 0.878 0.754 0.490
In 0.622 0.510 0.246
In 0.122 0.246 0.510
In 0.250 0.000 0.000
In 0.750 0.000 0.000
Pb 0.382 0.250 0.985
Pb 0.882 0.985 0.250
Pb 0.618 0.750 0.015
Pb 0.118 0.015 0.750
Pb 0.503 0.747 0.747
Pb 0.497 0.253 0.253
Pb 0.750 0.500 0.500
Pb 0.250 0.500 0.500
Pb 0.997 0.253 0.253
Pb 0.003 0.747 0.747


no.,density (g/cm3),VASP energy (eV/atom)
1,7.1,-3.150
2,6.4,-2.766
3,7.3,-2.909
4,7.0,-2.961